[1]
Density functional theory data (GGA-PBEsol) for an optimized crystal structure of Mg2NiW.

abc: 5.460 5.460 5.460
angles: 150.93 129.50 59.33
Sites, in units of the cell vectors:
Mg  0.221  0.221  0.000
Mg  0.779  0.779  0.000
Ni  0.000  0.500  0.500
W  0.500  0.000  0.500

Output
Total moment in Bohr magnetons per cell: 0.00
Excess energy over the best structure of this formula in the dataset in eV/atom: 0.020
E_form in eV/f.u.: 1.487
E in eV per atom: -5.478
Space group: Immm

***

[2]
Density functional theory data (GGA-PBEsol) for an optimized crystal structure of BiTeRuN2.

abc: 3.898 3.898 6.777
angles: 90.00 90.00 90.00
Sites, in units of the cell vectors:
Bi  0.000  0.000  0.000
Te  0.000  0.000  0.500
Ru  0.500  0.500  0.000
N  0.000  0.500  0.500
N  0.500  0.000  0.500

Output
Total moment in Bohr magnetons per cell: 1.55
E_form (uncorrected) in eV/atom: 1.871
E in eV per atom: -5.137
Space group: P4/mmm

***

[3]
Density functional theory data (GGA-PBEsol) for an optimized crystal structure of BaZn3Pd.

abc: 4.849 4.849 4.849
angles: 90.00 90.00 90.00
Sites, in units of the cell vectors:
Ba  0.000  0.000  0.000
Zn  0.000  0.500  0.500
Zn  0.500  0.000  0.500
Zn  0.500  0.500  0.000
Pd  0.500  0.500  0.500

Output
Total moment in Bohr magnetons per cell: 0.00
E_form in eV/f.u.: -1.406
E in eV per atom: -2.852
Space group: Pm-3m